! Li2SmTmGe2 PBE relaxed; values from VASP
! **SG**: P-3m1, No. 164
! **DFT formation energy**: -0.680 eV per atom
! **Raw total energy**: -0.1613 hartree per atom
&SYSTEM
  ibrav = 0, nat = 6, ntyp = 4
/
ATOMIC_SPECIES
Li 6.94 Li.upf
Sm 150.36 Sm.upf
Tm 168.93 Tm.upf
Ge 72.64 Ge.upf
ATOMIC_POSITIONS angstrom
Li 0.000 2.551 1.601
Li 2.209 1.275 5.617
Sm 0.000 0.000 3.609
Tm 0.000 0.000 0.000
Ge 0.000 2.551 5.492
Ge 2.209 1.275 1.726
CELL_PARAMETERS angstrom
4.418 0.000 0.000
-2.209 3.826 0.000
0.000 0.000 7.218